First-principles (PBE-GGA) data for an optimized crystal structure of Hf2Al2Au, as listed in OQMD.

Results
VASP energy = -6.1218 eV per atom
Symmetry = I4/mmm (139)
Theoretical density = 10.14 g cm⁻³
E above lowest polymorph = 0.5140 eV per atom

Lattice parameters (Å, degrees): 7.949 7.949 7.949 153.54 153.54 37.76
Element x y z (fractional)
1 Hf 0.099 0.099 0.000
2 Hf 0.901 0.901 0.000
3 Al 0.250 0.750 0.500
4 Al 0.750 0.250 0.500
5 Au 0.500 0.500 0.000